Record 1
Computed, not measured: crystalline Er3Mg2Zr6 at its relaxed geometry at the GGA-PBE level of DFT.

Values from the calculation:
DOS(E_F): 18.41 states/eV/cell
Total DFT energy (no corrections): -5.78 eV per atom
Energy relative to the elements: 0.419 eV per atom

abc: 8.2458 8.2458 5.1502
angles: 90.00 90.00 120.00
Last column: nearest neighbours and their distance in Å.
Fractional positions:
Er1 0.0000 0.5536 0.0000  5 Zr 2.90-3.19
Er2 0.4464 0.4464 0.0000  5 Zr 2.90-3.19
Er3 0.5536 0.0000 0.0000  5 Zr 2.90-3.19
Mg1 0.3333 0.6667 0.5000  3 Zr 3.33, 6 Er 3.53
Mg2 0.6667 0.3333 0.5000  3 Zr 3.33, 6 Er 3.53
Zr1 0.0000 0.2021 0.0000  6 Zr 2.89-3.11, 3 Er 2.90-3.19
Zr2 0.0000 0.7817 0.5000  6 Zr 3.11-3.12, 2 Er 3.19, 2 Mg 3.33
Zr3 0.2021 0.0000 0.0000  6 Zr 2.89-3.11, 3 Er 2.90-3.19
Zr4 0.2183 0.2183 0.5000  6 Zr 3.11-3.12, 2 Er 3.19, 2 Mg 3.33
Zr5 0.7817 0.0000 0.5000  6 Zr 3.11-3.12, 2 Er 3.19, 2 Mg 3.33
Zr6 0.7979 0.7979 0.0000  6 Zr 2.89-3.11, 3 Er 2.90-3.19

***

Record 2
Computed, not measured: crystalline ErMgZr2 at its relaxed geometry at the GGA-PBE level of DFT.

Values from the calculation:
DOS(E_F): 4.18 states/eV/cell
Total DFT energy (no corrections): -5.73 eV per atom
Energy relative to the elements: 0.079 eV per atom
E above lowest polymorph: 0.0000 eV/atom

abc: 3.2466 3.2466 9.1864
angles: 90.00 90.00 90.00
Last column: nearest neighbours and their distance in Å.
Fractional positions:
Er1 0.0000 0.0000 0.0000  4 Er 3.25, 8 Zr 3.30
Mg1 0.0000 0.0000 0.5000  8 Zr 3.20, 4 Mg 3.25
Zr1 0.5000 0.5000 0.2576  4 Mg 3.20, 4 Zr 3.25, 4 Er 3.30
Zr2 0.5000 0.5000 0.7424  4 Mg 3.20, 4 Zr 3.25, 4 Er 3.30

***

Record 3
Computed, not measured: crystalline Er2Mn17 at its relaxed geometry at the GGA-PBE level of DFT.

Values from the calculation:
DOS(E_F): 18.60 states/eV/cell
Total DFT energy (no corrections): -8.69 eV per atom
Energy relative to the elements: -0.010 eV per atom

abc: 6.3029 6.3029 6.3029
angles: 86.21 86.21 86.21
Last column: nearest neighbours and their distance in Å.
Fractional positions:
Er1 0.1451 0.1451 0.1451  13 Mn 2.91-3.16
Er2 0.8549 0.8549 0.8549  13 Mn 2.91-3.16
Mn1 0.0000 0.5000 0.5000  8 Mn 2.31-2.46
Mn2 0.1439 0.1439 0.6238  9 Mn 2.46-2.68
Mn3 0.1439 0.6238 0.1439  9 Mn 2.46-2.68
Mn4 0.2240 0.5000 0.7760  6 Mn 2.31-2.50
Mn5 0.2240 0.7760 0.5000  6 Mn 2.31-2.50
Mn6 0.3762 0.8561 0.8561  9 Mn 2.46-2.68
Mn7 0.4003 0.4003 0.4003  1 Mn 2.32
Mn8 0.5000 0.0000 0.5000  8 Mn 2.31-2.46
Mn9 0.5000 0.2240 0.7760  6 Mn 2.31-2.50
Mn10 0.5000 0.5000 0.0000  8 Mn 2.31-2.46
Mn11 0.5000 0.7760 0.2240  6 Mn 2.31-2.50
Mn12 0.5997 0.5997 0.5997  1 Mn 2.32
Mn13 0.6238 0.1439 0.1439  9 Mn 2.46-2.68
Mn14 0.7760 0.2240 0.5000  6 Mn 2.31-2.50
Mn15 0.7760 0.5000 0.2240  6 Mn 2.31-2.50
Mn16 0.8561 0.3762 0.8561  9 Mn 2.46-2.68
Mn17 0.8561 0.8561 0.3762  9 Mn 2.46-2.68

***

Record 4
Computed, not measured: crystalline ErMn12 at its relaxed geometry at the GGA-PBE level of DFT.

Values from the calculation:
DOS(E_F): 16.38 states/eV/cell
Total DFT energy (no corrections): -8.82 eV per atom
Energy relative to the elements: -0.003 eV per atom

abc: 6.2857 6.2857 6.2857
angles: 97.99 97.99 136.21
Last column: nearest neighbours and their distance in Å.
Fractional positions:
Er1 0.0000 0.0000 0.0000  20 Mn 3.01-3.14
Mn1 0.0000 0.0000 0.5000  10 Mn 2.34-2.55
Mn2 0.0000 0.3648 0.3648  1 Mn 2.23
Mn3 0.0000 0.5000 0.0000  10 Mn 2.34-2.55
Mn4 0.0000 0.6352 0.6352  1 Mn 2.23
Mn5 0.2716 0.5000 0.7716  8 Mn 2.38-2.60
Mn6 0.3648 0.0000 0.3648  1 Mn 2.23
Mn7 0.5000 0.0000 0.0000  10 Mn 2.34-2.55
Mn8 0.5000 0.2716 0.7716  8 Mn 2.38-2.60
Mn9 0.5000 0.5000 0.5000  10 Mn 2.34-2.55
Mn10 0.5000 0.7284 0.2284  8 Mn 2.38-2.60
Mn11 0.6352 0.0000 0.6352  1 Mn 2.23
Mn12 0.7284 0.5000 0.2284  8 Mn 2.38-2.60

***

Record 5
Computed, not measured: crystalline Er4Mn at its relaxed geometry at the GGA-PBE level of DFT.

Values from the calculation:
DOS(E_F): 7.58 states/eV/cell
Total DFT energy (no corrections): -5.25 eV per atom
Energy relative to the elements: 0.234 eV per atom

abc: 5.2356 5.2356 5.2356
angles: 90.00 90.00 90.00
Last column: nearest neighbours and their distance in Å.
Fractional positions:
Er1 0.0000 0.0000 0.0000  12 Er 3.70
Er2 0.0000 0.5000 0.5000  2 Mn 2.62
Er3 0.5000 0.0000 0.5000  2 Mn 2.62
Er4 0.5000 0.5000 0.0000  2 Mn 2.62
Mn1 0.5000 0.5000 0.5000  6 Er 2.62

***

Record 6
Computed, not measured: crystalline ErMnMo at its relaxed geometry at the GGA-PBE level of DFT.

Values from the calculation:
DOS(E_F): 18.36 states/eV/cell
Total DFT energy (no corrections): -8.14 eV per atom
Energy relative to the elements: 0.050 eV per atom

abc: 13.0125 13.0125 13.0125
angles: 24.02 24.02 24.02
Last column: nearest neighbours and their distance in Å.
Fractional positions:
Er1 0.0447 0.0447 0.0447  3 Mn 3.00, 9 Mo 3.19-3.22, 3 Er 3.30
Er2 0.1796 0.1796 0.1796  9 Mn 2.91-3.11, 1 Er 3.06, 3 Mo 3.16
Er3 0.2604 0.2604 0.2604  4 Er 3.06-3.30, 6 Mn 3.12, 6 Mo 3.14-3.17
Er4 0.7396 0.7396 0.7396  4 Er 3.06-3.30, 6 Mn 3.12, 6 Mo 3.14-3.17
Er5 0.8204 0.8204 0.8204  9 Mn 2.91-3.11, 1 Er 3.06, 3 Mo 3.16
Er6 0.9553 0.9553 0.9553  3 Mn 3.00, 9 Mo 3.19-3.22, 3 Er 3.30
Mn1 0.2039 0.7277 0.7277  2 Mo 2.47-2.60, 2 Mn 2.58
Mn2 0.2723 0.2723 0.7961  2 Mo 2.47-2.60, 2 Mn 2.58
Mn3 0.2723 0.7961 0.2723  2 Mo 2.47-2.60, 2 Mn 2.58
Mn4 0.7277 0.2039 0.7277  2 Mo 2.47-2.60, 2 Mn 2.58
Mn5 0.7277 0.7277 0.2039  2 Mo 2.47-2.60, 2 Mn 2.58
Mn6 0.7961 0.2723 0.2723  2 Mo 2.47-2.60, 2 Mn 2.58
Mo1 0.0000 0.5000 0.5000  6 Mo 2.71-2.91
Mo2 0.3980 0.3980 0.3980  3 Mn 2.47
Mo3 0.5000 0.0000 0.5000  6 Mo 2.71-2.91
Mo4 0.5000 0.5000 0.0000  6 Mo 2.71-2.91
Mo5 0.5000 0.5000 0.5000  6 Mn 2.60
Mo6 0.6020 0.6020 0.6020  3 Mn 2.47

***

Record 7
Computed, not measured: crystalline ErMn4Mo at its relaxed geometry at the GGA-PBE level of DFT.

Values from the calculation:
DOS(E_F): 6.02 states/eV/cell
Total DFT energy (no corrections): -8.58 eV per atom
Energy relative to the elements: 0.098 eV per atom

abc: 4.9160 4.9160 4.9160
angles: 60.00 60.00 60.00
Last column: nearest neighbours and their distance in Å.
Fractional positions:
Er1 0.0000 0.0000 0.0000  12 Mn 2.88, 4 Mo 3.01
Mn1 0.1259 0.6247 0.6247  6 Mn 2.45-2.46
Mn2 0.6247 0.1259 0.6247  6 Mn 2.45-2.46
Mn3 0.6247 0.6247 0.1259  6 Mn 2.45-2.46
Mn4 0.6247 0.6247 0.6247  6 Mn 2.45-2.46
Mo1 0.2500 0.2500 0.2500  12 Mn 2.88, 4 Er 3.01

***

Record 8
Computed, not measured: crystalline Er2MnMoN5 at its relaxed geometry at the GGA-PBE level of DFT.

Values from the calculation:
DOS(E_F): 6.30 states/eV/cell
Raw formation energy: -0.874 eV/atom
Total DFT energy (no corrections): -8.74 eV per atom

abc: 6.9589 6.9589 9.6901
angles: 90.00 90.00 153.70
Last column: nearest neighbours and their distance in Å.
Fractional positions:
Er1 0.1211 0.8789 0.5000  8 N 2.42-2.54
Er2 0.1296 0.8704 0.1345  7 N 2.40-2.58
Er3 0.8704 0.1296 0.6345  7 N 2.40-2.58
Er4 0.8789 0.1211 0.0000  8 N 2.42-2.54
Mn1 0.4482 0.5518 0.2594  4 N 1.74-1.94
Mn2 0.5518 0.4482 0.7594  4 N 1.74-1.94
Mo1 0.2008 0.7992 0.8306  3 N 1.91-2.11
Mo2 0.7992 0.2008 0.3306  3 N 1.91-2.11
N1 0.0275 0.9725 0.8401  2 Mn 1.80
N2 0.3022 0.6978 0.4750  2 Mo 2.11
N3 0.3176 0.6824 0.1786  1 Mn 1.94
N4 0.3415 0.6585 0.8180  1 Mo 1.91
N5 0.4985 0.5015 0.0938  1 Mn 1.74
N6 0.5015 0.4985 0.5938  1 Mn 1.74
N7 0.6585 0.3415 0.3180  1 Mo 1.91
N8 0.6824 0.3176 0.6786  1 Mn 1.94
N9 0.6978 0.3022 0.9750  2 Mo 2.11
N10 0.9725 0.0275 0.3401  2 Mn 1.80